Computed, not measured: an optimized crystal structure of Ca2Si2Te at the PBE level of DFT.

POSCAR file:
```
Ca2Si2Te
1.0
-0.503 -3.681 6.740
0.199 -6.759 -3.676
4.184 -0.036 0.292
Ca Te Si
4 2 4
direct
0.182 0.682 0.500 Ca
0.682 0.818 0.500 Ca
0.818 0.318 0.500 Ca
0.318 0.182 0.500 Ca
0.000 0.000 0.000 Te
0.500 0.500 0.000 Te
0.394 0.894 0.000 Si
0.894 0.606 0.000 Si
0.606 0.106 0.000 Si
0.106 0.394 0.000 Si
```

Values from the calculation:
Energy relative to the lowest polymorph listed for this composition in eV per atom: 0.1511
Raw formation energy in eV/atom: -0.48

---

Computed, not measured: an optimized crystal structure of ScGa4Re2 at the PBE level of DFT.

POSCAR file:
```
ScGa4Re2
1.0
-0.704 -4.884 0.226
4.429 -0.540 2.121
-0.869 -2.047 7.046
Sc Re Ga
1 2 4
direct
0.000 0.000 0.000 Sc
0.588 0.588 0.824 Re
0.412 0.412 0.176 Re
0.789 0.789 0.422 Ga
0.211 0.211 0.578 Ga
0.000 0.500 0.000 Ga
0.500 0.000 0.000 Ga
```

Values from the calculation:
Formation energy in meV/atom: 922